(1)
First-principles (GGA-PBE) data for a geometry-optimized Pr8ZnAg2 structure, as listed in the Alexandria database.

a = 9.708 Å, b = 9.708 Å, c = 7.177 Å
α = 106.96°, β = 106.96°, γ = 32.08°
Sites, in units of the cell vectors:
Pr1 0.024 0.024 0.277
Pr2 0.197 0.197 0.820
Pr3 0.333 0.333 0.515
Pr4 0.409 0.409 0.039
Pr5 0.591 0.591 0.961
Pr6 0.667 0.667 0.485
Pr7 0.803 0.803 0.180
Pr8 0.976 0.976 0.723
Zn1 0.500 0.500 0.500
Ag1 0.179 0.179 0.225
Ag2 0.821 0.821 0.775

Properties
- space group = C2/m, No. 12
- Fermi-level density of states (states/eV/atom) = 1.094
- VASP energy (eV/atom) = -4.22


(2)
First-principles (GGA-PBE) data for a geometry-optimized PrZn6Ag12 structure, as listed in the Alexandria database.

a = 7.433 Å, b = 7.433 Å, c = 7.433 Å
α = 104.45°, β = 104.45°, γ = 104.45°
Sites, in units of the cell vectors:
Pr1 0.000 0.000 0.000
Zn1 0.276 0.276 0.702
Zn2 0.276 0.702 0.276
Zn3 0.298 0.724 0.724
Zn4 0.702 0.276 0.276
Zn5 0.724 0.298 0.724
Zn6 0.724 0.724 0.298
Ag1 0.116 0.500 0.884
Ag2 0.116 0.884 0.500
Ag3 0.138 0.391 0.391
Ag4 0.391 0.138 0.391
Ag5 0.391 0.391 0.138
Ag6 0.500 0.116 0.884
Ag7 0.500 0.884 0.116
Ag8 0.609 0.609 0.862
Ag9 0.609 0.862 0.609
Ag10 0.862 0.609 0.609
Ag11 0.884 0.116 0.500
Ag12 0.884 0.500 0.116

Properties
- space group = R-3m, No. 166
- Fermi-level density of states (states/eV/atom) = 0.370
- VASP energy (eV/atom) = -2.42


(3)
First-principles (GGA-PBE) data for a geometry-optimized Pr4Zn2Ag3 structure, as listed in the Alexandria database.

a = 5.182 Å, b = 5.182 Å, c = 9.708 Å
α = 90.00°, β = 90.00°, γ = 120.00°
Sites, in units of the cell vectors:
Pr1 0.000 0.000 0.161
Pr2 0.000 0.000 0.839
Pr3 0.333 0.667 0.387
Pr4 0.667 0.333 0.613
Zn1 0.333 0.667 0.719
Zn2 0.667 0.333 0.281
Ag1 0.000 0.000 0.500
Ag2 0.333 0.667 0.007
Ag3 0.667 0.333 0.993

Properties
- space group = P-3m1, No. 164
- Fermi-level density of states (states/eV/atom) = 0.920
- VASP energy (eV/atom) = -3.57


(4)
First-principles (GGA-PBE) data for a geometry-optimized PrZn3Ag structure, as listed in the Alexandria database.

a = 5.065 Å, b = 5.065 Å, c = 4.909 Å
α = 117.83°, β = 117.83°, γ = 77.28°
Sites, in units of the cell vectors:
Pr1 0.000 0.000 0.000
Zn1 0.305 0.695 0.498
Zn2 0.695 0.305 0.498
Zn3 0.708 0.708 0.221
Ag1 0.307 0.307 0.797

Properties
- space group = Cm, No. 8
- Fermi-level density of states (states/eV/atom) = 0.540
- VASP energy (eV/atom) = -2.54


(5)
First-principles (GGA-PBE) data for a geometry-optimized PrZn5Ag2 structure, as listed in the Alexandria database.

a = 6.647 Å, b = 6.647 Å, c = 6.647 Å
α = 144.10°, β = 114.78°, γ = 76.75°
Sites, in units of the cell vectors:
Pr1 0.000 0.000 0.000
Zn1 0.185 0.372 0.813
Zn2 0.440 0.628 0.813
Zn3 0.500 0.000 0.500
Zn4 0.560 0.372 0.187
Zn5 0.815 0.628 0.187
Ag1 0.251 0.751 0.500
Ag2 0.749 0.249 0.500

Properties
- space group = Immm, No. 71
- Fermi-level density of states (states/eV/atom) = 0.422
- VASP energy (eV/atom) = -2.26


(6)
First-principles (GGA-PBE) data for a geometry-optimized Pr3Zn9Ag2 structure, as listed in the Alexandria database.

a = 8.448 Å, b = 8.448 Å, c = 8.448 Å
α = 148.90°, β = 116.28°, γ = 72.60°
Sites, in units of the cell vectors:
Pr1 0.000 0.000 0.000
Pr2 0.296 0.296 0.000
Pr3 0.704 0.704 0.000
Zn1 0.022 0.663 0.359
Zn2 0.146 0.863 0.283
Zn3 0.304 0.663 0.641
Zn4 0.420 0.137 0.283
Zn5 0.500 0.000 0.500
Zn6 0.580 0.863 0.717
Zn7 0.696 0.337 0.359
Zn8 0.854 0.137 0.717
Zn9 0.978 0.337 0.641
Ag1 0.310 0.500 0.810
Ag2 0.690 0.500 0.190

Properties
- space group = Immm, No. 71
- Fermi-level density of states (states/eV/atom) = 0.647
- VASP energy (eV/atom) = -2.56


(7)
First-principles (GGA-PBE) data for a geometry-optimized PrZn2Ag10 structure, as listed in the Alexandria database.

a = 9.537 Å, b = 7.287 Å, c = 7.249 Å
α = 82.01°, β = 49.17°, γ = 48.82°
Sites, in units of the cell vectors:
Pr1 0.000 0.000 0.000
Zn1 0.000 0.500 0.000
Zn2 0.500 0.000 0.500
Ag1 0.000 0.000 0.500
Ag2 0.006 0.349 0.651
Ag3 0.282 0.494 0.506
Ag4 0.349 0.006 0.994
Ag5 0.494 0.282 0.718
Ag6 0.500 0.500 0.000
Ag7 0.506 0.718 0.282
Ag8 0.651 0.994 0.006
Ag9 0.718 0.506 0.494
Ag10 0.994 0.651 0.349

Properties
- space group = Fmmm, No. 69
- Fermi-level density of states (states/eV/atom) = 0.334
- VASP energy (eV/atom) = -2.84


(8)
First-principles (GGA-PBE) data for a geometry-optimized Pr3Zn2Ag structure, as listed in the Alexandria database.

a = 3.753 Å, b = 3.753 Å, c = 11.097 Å
α = 90.00°, β = 90.00°, γ = 90.00°
Sites, in units of the cell vectors:
Pr1 0.000 0.000 0.000
Pr2 0.000 0.000 0.325
Pr3 0.000 0.000 0.675
Zn1 0.500 0.500 0.161
Zn2 0.500 0.500 0.839
Ag1 0.500 0.500 0.500

Properties
- space group = P4/mmm, No. 123
- Fermi-level density of states (states/eV/atom) = 0.974
- VASP energy (eV/atom) = -3.58


Question: Which of these has the lowest Fermi-level density of states?
Answer: PrZn2Ag10


Question: The highest VASP energy belongs to which entry?
Answer: PrZn5Ag2


Question: What is the VASP energy in the seventh record?
Answer: -2.84 eV/atom


Question: Which value of Fermi-level density of states does entry 7 give?
Answer: 0.334 states/eV/atom